1.
Computed, not measured: a geometry-optimized Na2Ti2O5 structure at the PBEsol level of DFT.

abc: 5.6119 12.1832 10.7396
angles: 90.00 121.36 90.00
With the nearest neighbours (Å) after each atom.
Space group P2_1/c (No. 14)
Inequivalent atoms, fractional coordinates:
Na 0.0577 0.0272 0.3587 (multiplicity 4)  4 O 2.28-2.50
Na 0.4087 0.5169 0.6181 (multiplicity 4)  4 O 2.30-2.37
Ti 0.0028 0.1808 0.8195 (multiplicity 4)  4 O 1.74-1.85
Ti 0.3905 0.6831 0.0753 (multiplicity 4)  4 O 1.73-1.86
O 0.1864 0.0592 0.8883 (multiplicity 4)  1 Ti 1.74
O 0.1920 0.6578 0.8781 (multiplicity 4)  2 Ti 1.83-1.84
O 0.2362 0.1989 0.3661 (multiplicity 4)  2 Ti 1.85-1.86
O 0.2484 0.6952 0.6185 (multiplicity 4)  2 Ti 1.85
O 0.3512 0.5645 0.1519 (multiplicity 4)  1 Ti 1.73

Summary:
M_tot ... 0.01 μB per cell
Raw formation energy ... -2590.7 meV per atom
VASP energy ... -7.667 eV/atom


2.
Computed, not measured: a geometry-optimized SbCl5 structure at the PBEsol level of DFT.

abc: 7.5565 7.5565 7.9682
angles: 90.00 90.00 120.00
With the nearest neighbours (Å) after each atom.
Space group P6_3/mmc (No. 194)
Inequivalent atoms, fractional coordinates:
Sb 0.3333 0.6667 0.2500 (multiplicity 2)  5 Cl 2.31-2.36
Cl 0.1565 0.3130 0.2500 (multiplicity 6)  1 Sb 2.31
Cl 0.3333 0.6667 0.5463 (multiplicity 4)  1 Sb 2.36

Summary:
M_tot ... 0.00 μB per cell
Raw formation energy ... -611.6 meV per atom
VASP energy ... -3.044 eV/atom


3.
Computed, not measured: a geometry-optimized TcNiH3 structure at the PBEsol level of DFT.

abc: 3.3207 3.3207 3.3207
angles: 90.00 90.00 90.00
With the nearest neighbours (Å) after each atom.
Space group Pm-3m (No. 221)
Inequivalent atoms, fractional coordinates:
Tc 0.0000 0.0000 0.0000 (multiplicity 1)  6 H 1.66
Ni 0.5000 0.5000 0.5000 (multiplicity 1)  12 H 2.35
H 0.0000 0.0000 0.5000 (multiplicity 3)  2 Tc 1.66

Summary:
M_tot ... 0.01 μB per cell
VASP energy ... -5.031 eV/atom


4.
Computed, not measured: a geometry-optimized Ba2Sc2O5 structure at the PBEsol level of DFT.

abc: 5.8932 16.3235 6.0457
angles: 90.00 90.00 90.00
With the nearest neighbours (Å) after each atom.
Space group Pnma (No. 62)
Inequivalent atoms, fractional coordinates:
Ba 0.0019 0.1091 0.0140 (multiplicity 8)  7 O 2.66-2.92
Sc 0.0000 0.0000 0.5000 (multiplicity 4)  6 O 2.11-2.26
Sc 0.0309 0.2500 0.5679 (multiplicity 4)  4 O 1.97-1.99
O 0.0095 0.6370 0.5475 (multiplicity 8)  1 Sc 1.99
O 0.1466 0.7500 0.1546 (multiplicity 4)  2 Sc 1.97-1.98
O 0.2476 0.0073 0.7527 (multiplicity 8)  2 Sc 2.11-2.12

Summary:
M_tot ... 0.00 μB per cell
Raw formation energy ... -3152.0 meV per atom
VASP energy ... -8.014 eV/atom


5.
Computed, not measured: a geometry-optimized KTlNi structure at the PBEsol level of DFT.

abc: 4.3697 4.3697 5.1323
angles: 90.00 90.00 120.00
With the nearest neighbours (Å) after each atom.
Space group P-6m2 (No. 187)
Inequivalent atoms, fractional coordinates:
K 0.0000 0.0000 0.0000 (multiplicity 1)  6 Tl 3.60, 6 Ni 3.60
Tl 0.6667 0.3333 0.5000 (multiplicity 1)  3 Ni 2.52
Ni 0.3333 0.6667 0.5000 (multiplicity 1)  3 Tl 2.52

Summary:
M_tot ... 0.00 μB per cell
Energy relative to the elements ... 0.994 eV/f.u.
VASP energy ... -2.976 eV/atom


6.
Computed, not measured: a geometry-optimized PrLuS3 structure at the PBEsol level of DFT.

abc: 3.8413 12.3882 9.4016
angles: 90.00 90.00 90.00
With the nearest neighbours (Å) after each atom.
Space group Cmcm (No. 63)
Inequivalent atoms, fractional coordinates:
Pr 0.0000 0.2468 0.2500 (multiplicity 4)  6 S 2.79-2.95
Lu 0.0000 0.5000 0.0000 (multiplicity 4)  6 S 2.57-2.67
S 0.0000 0.1421 0.5615 (multiplicity 8)  2 Lu 2.67, 2 Pr 2.95
S 0.0000 0.4162 0.7500 (multiplicity 4)  2 Lu 2.57, 2 Pr 2.79

Summary:
M_tot ... 0.00 μB per cell
Raw formation energy ... -2125.5 meV per atom
VASP energy ... -6.767 eV/atom


7.
Computed, not measured: a geometry-optimized Al2O3 structure at the PBEsol level of DFT.

abc: 5.6196 5.6198 24.0381
angles: 90.00 102.64 90.00
With the nearest neighbours (Å) after each atom.
Space group P2/c (No. 13)
Inequivalent atoms, fractional coordinates:
Al 0.0000 0.0000 0.0000 (multiplicity 2)  6 O 1.89-1.93
Al 0.0000 0.2332 0.2500 (multiplicity 2)  6 O 1.89-1.93
Al 0.1238 0.2410 0.1250 (multiplicity 4)  4 O 1.76-1.82
Al 0.1708 0.2743 0.9202 (multiplicity 4)  6 O 1.84-1.97
Al 0.1906 0.2660 0.7086 (multiplicity 4)  4 O 1.76-1.84
Al 0.3211 0.2748 0.5790 (multiplicity 4)  6 O 1.83-2.02
Al 0.3492 0.0116 0.8298 (multiplicity 4)  6 O 1.84-1.97
Al 0.3490 0.4811 0.3291 (multiplicity 4)  6 O 1.82-2.02
Al 0.4634 0.2294 0.4586 (multiplicity 4)  4 O 1.76-1.84
O 0.0776 0.0279 0.5819 (multiplicity 4)  4 Al 1.82-1.96
O 0.0836 0.4872 0.5881 (multiplicity 4)  3 Al 1.76-1.84
O 0.1048 0.2348 0.3320 (multiplicity 4)  4 Al 1.82-1.96
O 0.1168 0.2643 0.8375 (multiplicity 4)  4 Al 1.84-1.98
O 0.2330 0.0112 0.7522 (multiplicity 4)  3 Al 1.76-1.89
O 0.2327 0.4793 0.2520 (multiplicity 4)  3 Al 1.76-1.90
O 0.2418 0.2315 0.9978 (multiplicity 4)  3 Al 1.76-1.89
O 0.2485 0.2303 0.5020 (multiplicity 4)  3 Al 1.76-1.90
O 0.4167 0.0349 0.9125 (multiplicity 4)  4 Al 1.84-1.98
O 0.4192 0.4985 0.9152 (multiplicity 4)  4 Al 1.84-2.02
O 0.4220 0.2643 0.6652 (multiplicity 4)  4 Al 1.84-2.02
O 0.4302 0.2352 0.1619 (multiplicity 4)  3 Al 1.76-1.84

Summary:
M_tot ... 0.00 μB per cell
Raw formation energy ... -3025.9 meV per atom
VASP energy ... -7.812 eV/atom


8.
Computed, not measured: a geometry-optimized Cu2SiNi structure at the PBEsol level of DFT.

abc: 2.6121 3.5951 4.8164
angles: 90.00 90.00 90.00
With the nearest neighbours (Å) after each atom.
Space group Pmmm (No. 47)
Inequivalent atoms, fractional coordinates:
Cu 0.0000 0.0000 0.2482 (multiplicity 2)  4 Cu 2.39-2.61, 4 Ni 2.52, 4 Si 2.53
Si 0.5000 0.5000 0.5000 (multiplicity 1)  2 Ni 2.41, 8 Cu 2.53, 2 Si 2.61
Ni 0.5000 0.5000 0.0000 (multiplicity 1)  2 Si 2.41, 8 Cu 2.52, 2 Ni 2.61

Summary:
M_tot ... 0.00 μB per cell
Raw formation energy ... -105.2 meV per atom
VASP energy ... -5.248 eV/atom


9.
Computed, not measured: a geometry-optimized LiUPH8O10 structure at the PBEsol level of DFT.

abc: 6.8315 6.8315 9.0490
angles: 90.00 90.00 90.00
With the nearest neighbours (Å) after each atom.
Space group P4/n (No. 85, origin choice 2)
Inequivalent atoms, fractional coordinates:
Li 0.2500 0.7500 0.0000 (multiplicity 2)  4 O 1.97
U 0.2500 0.2500 0.3969 (multiplicity 2)  2 O 1.80
P 0.2500 0.7500 0.5000 (multiplicity 2)  4 O 1.55
H 0.0750 0.6707 0.2314 (multiplicity 8)  1 O 0.99
H 0.0898 0.3940 0.8785 (multiplicity 8)  1 O 1.01
O 0.0247 0.6989 0.1305 (multiplicity 8)  2 H 0.99-1.01
O 0.0792 0.8095 0.6028 (multiplicity 8)  1 P 1.55
O 0.2500 0.2500 0.1977 (multiplicity 2)  1 U 1.80
O 0.2500 0.2500 0.5962 (multiplicity 2)  1 U 1.80

Summary:
M_tot ... 0.00 μB per cell
VASP energy ... -6.455 eV/atom


10.
Computed, not measured: a geometry-optimized BPPtS2 structure at the PBEsol level of DFT.

abc: 4.8738 4.8738 4.3486
angles: 90.00 90.00 90.00
With the nearest neighbours (Å) after each atom.
Space group P4/mmm (No. 123)
Inequivalent atoms, fractional coordinates:
B 0.0000 0.0000 0.0000 (multiplicity 1)  8 S 3.27, 4 P 3.45
P 0.5000 0.5000 0.0000 (multiplicity 1)  2 Pt 2.17
Pt 0.5000 0.5000 0.5000 (multiplicity 1)  2 P 2.17
S 0.0000 0.5000 0.5000 (multiplicity 2)  2 Pt 2.44

Summary:
M_tot ... 0.00 μB per cell
Raw formation energy ... 1465.8 meV per atom
VASP energy ... -4.242 eV/atom


11.
Computed, not measured: a geometry-optimized CaCr2P structure at the PBEsol level of DFT.

abc: 3.6931 3.9837 9.5923
angles: 90.00 90.00 90.00
With the nearest neighbours (Å) after each atom.
Space group Imm2 (No. 44)
Inequivalent atoms, fractional coordinates:
Ca 0.0000 0.0000 0.0000 (multiplicity 2)  4 P 2.93-3.21, 8 Cr 2.95-3.15
Cr 0.0000 0.0000 0.6190 (multiplicity 2)  2 P 2.30, 2 Cr 2.44
Cr 0.0000 0.5000 0.7658 (multiplicity 2)  2 Cr 2.44, 4 P 2.72
P 0.0000 0.5000 0.2628 (multiplicity 2)  2 Cr 2.30

Summary:
M_tot ... 1.00 μB per cell
Energy relative to the elements ... 1.029 eV/f.u.
VASP energy ... -6.845 eV/atom


12.
Computed, not measured: a geometry-optimized Sc2SiP structure at the PBEsol level of DFT.

abc: 6.5319 6.5319 6.5319
angles: 90.00 90.00 90.00
With the nearest neighbours (Å) after each atom.
Space group Fm-3m (No. 225)
Inequivalent atoms, fractional coordinates:
Sc 0.2500 0.2500 0.2500 (multiplicity 8)  4 Si 2.83, 4 P 2.83
Si 0.0000 0.0000 0.0000 (multiplicity 4)  8 Sc 2.83
P 0.0000 0.0000 0.5000 (multiplicity 4)  8 Sc 2.83

Summary:
M_tot ... 0.00 μB per cell
Raw formation energy ... -649.9 meV per atom
Energy above the most stable polymorph in this dataset ... 0.2941 eV per atom
VASP energy ... -6.837 eV/atom